# 1
A relaxed structure of CrCu2AsRh. Source: Alexandria, functional PBE-GGA. Values from VASP.

Values from the calculation:
Theoretical density in g/cm³: 6.72
DFT formation energy in eV/f.u.: 5.8

Cell and atoms, written as Quantum ESPRESSO input:
```
&SYSTEM
  ibrav = 0, nat = 5, ntyp = 4
/
ATOMIC_SPECIES
Cr 52.00 Cr.upf
Cu 63.55 Cu.upf
As 74.92 As.upf
Rh 102.91 Rh.upf
CELL_PARAMETERS angstrom
4.496 0.000 0.000
0.000 4.496 0.000
0.000 0.000 4.360
ATOMIC_POSITIONS crystal
Cr 0.000 0.000 0.000
Cu 0.000 0.500 0.000
Cu 0.500 0.000 0.000
As 0.500 0.500 0.500
Rh 0.000 0.000 0.500
```


# 2
A relaxed structure of CrCuAs2Se. Source: Alexandria, functional PBE-GGA. Values from VASP.

Values from the calculation:
E_form (uncorrected) in kJ per mole of atoms: 55.3
Relative energy among the computed polymorphs in eV/atom: 0.000
Theoretical density in g/cm³: 5.59

Cell and atoms, written as Quantum ESPRESSO input:
```
&SYSTEM
  ibrav = 0, nat = 5, ntyp = 4
/
ATOMIC_SPECIES
Cr 52.00 Cr.upf
Cu 63.55 Cu.upf
As 74.92 As.upf
Se 78.96 Se.upf
CELL_PARAMETERS angstrom
4.645 0.000 0.000
0.000 4.645 0.000
0.000 0.000 4.736
ATOMIC_POSITIONS crystal
Cr 0.000 0.000 0.000
Cu 0.500 0.500 0.500
As 0.000 0.500 0.000
As 0.500 0.000 0.000
Se 0.000 0.000 0.500
```